Record 1
Below is a geometry-optimized Gd3Se3N structure, with properties calculated at the GGA-PBE level.

Properties
- space-group type = No. 62

Unit cell a=12.6446 b=3.9970 c=13.2549 alpha=90.00 beta=90.00 gamma=90.00
Atoms (fractional coordinates):
Gd (0.5417, 0.2500, 0.6506)
Gd (0.0648, 0.2500, 0.3668)
Gd (0.7946, 0.7500, 0.8591)
Gd (0.9352, 0.7500, 0.6332)
Gd (0.4352, 0.7500, 0.8668)
Gd (0.5648, 0.2500, 0.1332)
Gd (0.2946, 0.7500, 0.6409)
Gd (0.0417, 0.2500, 0.8494)
Gd (0.9583, 0.7500, 0.1506)
Gd (0.7054, 0.2500, 0.3591)
Gd (0.4583, 0.7500, 0.3494)
Gd (0.2054, 0.2500, 0.1409)
N (0.4619, 0.7500, 0.7028)
N (0.0381, 0.2500, 0.2028)
N (0.9619, 0.7500, 0.7972)
N (0.5381, 0.2500, 0.2972)
Se (0.3692, 0.2500, 0.5047)
Se (0.5954, 0.2500, 0.8956)
Se (0.9046, 0.7500, 0.3956)
Se (0.2252, 0.7500, 0.3118)
Se (0.7252, 0.7500, 0.1882)
Se (0.2748, 0.2500, 0.8118)
Se (0.8692, 0.2500, 0.9953)
Se (0.6308, 0.7500, 0.4953)
Se (0.7748, 0.2500, 0.6882)
Se (0.4046, 0.7500, 0.1044)
Se (0.1308, 0.7500, 0.0047)
Se (0.0954, 0.2500, 0.6044)

=====

Record 2
Below is a geometry-optimized GdYSi2W2N structure, with properties calculated at the GGA-PBE level.

Properties
- space-group type = No. 8

Unit cell a=5.8453 b=5.8453 c=7.1231 alpha=123.21 beta=123.21 gamma=37.96
Atoms (fractional coordinates):
N (0.0004, 0.0004, 0.0013)
Si (0.1324, 0.1324, 0.6614)
Si (0.8673, 0.8673, 0.3377)
Gd (0.4243, 0.4243, 0.6998)
W (0.2052, 0.2052, 0.0833)
W (0.7949, 0.7949, 0.9170)
Y (0.5754, 0.5754, 0.2996)

=====

Record 3
Below is a geometry-optimized Sm2GdN3 structure, with properties calculated at the GGA-PBE level.

Properties
- space-group type = No. 164

Unit cell a=3.5482 b=3.5482 c=8.6907 alpha=90.00 beta=90.00 gamma=120.00
Atoms (fractional coordinates):
N (0.0000, 0.0000, 0.0000)
N (0.3333, 0.6667, 0.3369)
N (0.6667, 0.3333, 0.6631)
Sm (0.3333, 0.6667, 0.8317)
Sm (0.6667, 0.3333, 0.1683)
Gd (0.0000, 0.0000, 0.5000)

=====

Number 1: DFT total energy -6.523 eV/atom. Number 2: DFT total energy -8.764 eV/atom. Number 3: DFT total energy -8.035 eV/atom.